1.
## NdHo6Tm2 (PBE)

Data for NdHo6Tm2 after structural relaxation.

Lattice parameters (Å, degrees): 7.6143 7.6143 7.6143 57.21 57.21 57.21
Last column: nearest neighbours and their distance in Å.
Element x y z (fractional)
Nd1 0.0000 0.0000 0.0000  6 Ho 2.84-3.13
Ho1 0.0552 0.0552 0.5357  1 Nd 3.13, 4 Ho 3.39-3.50
Ho2 0.0552 0.5357 0.0552  1 Nd 3.13, 4 Ho 3.39-3.50
Ho3 0.2699 0.2699 0.7037  1 Nd 2.84, 2 Ho 3.16
Ho4 0.2699 0.7037 0.2699  1 Nd 2.84, 2 Ho 3.16
Ho5 0.5357 0.0552 0.0552  1 Nd 3.13, 4 Ho 3.39-3.50
Ho6 0.7037 0.2699 0.2699  1 Nd 2.84, 2 Ho 3.16
Tm1 0.5612 0.5612 0.5612  9 Ho 3.34-3.65, 1 Tm 3.36
Tm2 0.7375 0.7375 0.7375  1 Tm 3.36, 9 Ho 3.52-3.66

## Properties
- formation energy (meV/atom) = 356.5
- space-group type = R3m (160)
- excess energy over the best structure of this formula in the dataset (meV/atom) = 336


2.
## Ni2BTeAs (PBE)

Data for Ni2BTeAs after structural relaxation.

Lattice parameters (Å, degrees): 4.2861 4.2861 5.7605 90.00 90.00 90.00
Last column: nearest neighbours and their distance in Å.
Element x y z (fractional)
Ni1 0.0000 0.5000 0.0000  2 As 2.14
Ni2 0.5000 0.0000 0.0000  2 As 2.14
B1 0.0000 0.0000 0.5000  4 Te 3.03
Te1 0.5000 0.5000 0.5000  2 As 2.88, 4 B 3.03
As1 0.5000 0.5000 0.0000  4 Ni 2.14

## Properties
- space-group type = P4/mmm (123)
- ΔE_f (raw) (eV/f.u.) = 6.39


The evaluated E_tot for the records listed, in turn: -4.219; -3.927 eV per atom.